No. 1
DFT (PBE) results for a geometry-optimized Sc4TlIn2 structure.

The raw total energy is -4.943 eV/atom. The calculation puts the energy above the most stable polymorph in this dataset at 0.000 eV/atom. As for the calculated formation energy: -1.43 eV per formula unit.

The structure belongs to space group R-3m (No. 166, hexagonal axes); the cell edges are 4.9686, 4.9686 and 24.4180 Å and the angles 90.00°, 90.00° and 120.00°. The distinct sites, in fractional coordinates, are Sc at (0.0000, 0.0000, 0.1185), Sc at (0.0000, 0.0000, 0.3717), Tl at (0.0000, 0.0000, 0.5000) and In at (0.0000, 0.0000, 0.2525).

=====

No. 2
DFT (PBE) results for a geometry-optimized ScTlIn2 structure.

The raw total energy is -3.635 eV/atom. As for the calculated formation energy: -0.36 eV per formula unit.

The structure belongs to space group P2/m (No. 10); the cell edges are 3.1599, 5.2409 and 6.0525 Å and the angles 90.00°, 90.09° and 90.00°. The distinct sites, in fractional coordinates, are Sc at (0.0000, 0.0000, 0.0000), Tl at (0.5000, 0.0000, 0.5000) and In at (0.4991, 0.5000, 0.7634).

=====

No. 3
DFT (PBE) results for a geometry-optimized ScTlIn structure.

The raw total energy is -3.944 eV/atom. The calculation puts the energy above the most stable polymorph in this dataset at 0.018 eV/atom. As for the calculated formation energy: -0.40 eV per formula unit.

The structure belongs to space group Cm (No. 8); the cell edges are 13.5805, 3.3398 and 3.3238 Å and the angles 90.00°, 90.07° and 90.00°. The distinct sites, in fractional coordinates, are Sc at (0.0000, 0.0000, 0.0000), Tl at (0.3431, 0.0000, 0.4975) and In at (0.1497, 0.5000, 0.5011).

=====

no.,M_tot (μB/f.u.)
1,0.001
2,0.000
3,0.434